# NdHoEr2 PBE-GGA relaxed
data_NdHoEr2
_chemical_formula_sum 'Nd1 Ho1 Er2'
_cell_length_a 5.0279
_cell_length_b 5.0279
_cell_length_c 5.0180
_cell_angle_alpha 90.00
_cell_angle_beta 90.00
_cell_angle_gamma 90.00
_space_group_name_H-M_alt 'P 1'
_space_group_IT_number 1
loop_
_space_group_symop_operation_xyz
'x,y,z'
loop_
_atom_site_label
_atom_site_fract_x
_atom_site_fract_y
_atom_site_fract_z
Nd1 0.0000 0.0000 0.0000
Ho1 0.5000 0.5000 0.0000
Er1 0.0000 0.5000 0.5000
Er2 0.5000 0.0000 0.5000
# Energy above the lowest structure with this stoichiometry = 0.0224 eV/atom
# Final energy = -4.59 eV per atom
# ΔH_f (0 K) = 0.024 eV per atom
# Crystal system = tetragonal
# Magnetization = 0.0 μB/f.u.
# D(E_F) = 1.431 states/eV per atom


# NdHo2Er9 PBE-GGA relaxed
data_NdHo2Er9
_chemical_formula_sum 'Nd1 Ho2 Er9'
_cell_length_a 4.9829
_cell_length_b 4.9829
_cell_length_c 14.9488
_cell_angle_alpha 90.00
_cell_angle_beta 90.00
_cell_angle_gamma 90.00
_space_group_name_H-M_alt 'P 1'
_space_group_IT_number 1
loop_
_space_group_symop_operation_xyz
'x,y,z'
loop_
_atom_site_label
_atom_site_fract_x
_atom_site_fract_y
_atom_site_fract_z
Nd1 0.0000 0.0000 0.0000
Ho1 0.0000 0.0000 0.3343
Ho2 0.0000 0.0000 0.6657
Er1 0.0000 0.5000 0.1690
Er2 0.0000 0.5000 0.5000
Er3 0.0000 0.5000 0.8310
Er4 0.5000 0.0000 0.1690
Er5 0.5000 0.0000 0.5000
Er6 0.5000 0.0000 0.8310
Er7 0.5000 0.5000 0.0000
Er8 0.5000 0.5000 0.3349
Er9 0.5000 0.5000 0.6651
# Energy above the lowest structure with this stoichiometry = 0.0000 eV/atom
# Final energy = -4.56 eV per atom
# ΔH_f (0 K) = 0.024 eV per atom
# Crystal system = tetragonal
# Magnetization = 0.0 μB/f.u.
# D(E_F) = 1.414 states/eV per atom


# Nd2HoEr PBE-GGA relaxed
data_Nd2HoEr
_chemical_formula_sum 'Nd2 Ho1 Er1'
_cell_length_a 11.8292
_cell_length_b 11.8292
_cell_length_c 11.8292
_cell_angle_alpha 17.52
_cell_angle_beta 17.52
_cell_angle_gamma 17.52
_space_group_name_H-M_alt 'P 1'
_space_group_IT_number 1
loop_
_space_group_symop_operation_xyz
'x,y,z'
loop_
_atom_site_label
_atom_site_fract_x
_atom_site_fract_y
_atom_site_fract_z
Nd1 0.2502 0.2502 0.2502
Nd2 0.7498 0.7498 0.7498
Ho1 0.5000 0.5000 0.5000
Er1 0.0000 0.0000 0.0000
# Energy above the lowest structure with this stoichiometry = 0.0000 eV/atom
# Final energy = -4.66 eV per atom
# ΔH_f (0 K) = 0.014 eV per atom
# Crystal system = trigonal
# Magnetization = 0.0 μB/f.u.
# D(E_F) = 1.099 states/eV per atom


# Nd2HoEr2 PBE-GGA relaxed
data_Nd2HoEr2
_chemical_formula_sum 'Nd4 Ho2 Er4'
_cell_length_a 8.1032
_cell_length_b 8.1032
_cell_length_c 6.0682
_cell_angle_alpha 102.32
_cell_angle_beta 102.32
_cell_angle_gamma 110.38
_space_group_name_H-M_alt 'P 1'
_space_group_IT_number 1
loop_
_space_group_symop_operation_xyz
'x,y,z'
loop_
_atom_site_label
_atom_site_fract_x
_atom_site_fract_y
_atom_site_fract_z
Nd1 0.1073 0.2615 0.3695
Nd2 0.2615 0.1073 0.8695
Nd3 0.7385 0.8927 0.1305
Nd4 0.8927 0.7385 0.6305
Ho1 0.4374 0.5626 0.2500
Ho2 0.5626 0.4374 0.7500
Er1 0.1716 0.8284 0.2500
Er2 0.3056 0.6944 0.7500
Er3 0.6944 0.3056 0.2500
Er4 0.8284 0.1716 0.7500
# Energy above the lowest structure with this stoichiometry = 0.2773 eV/atom
# Final energy = -4.36 eV per atom
# ΔH_f (0 K) = 0.286 eV per atom
# Crystal system = monoclinic
# Magnetization = 0.0 μB/f.u.
# D(E_F) = 1.385 states/eV per atom


# Nd8HoEr4 PBE-GGA relaxed
data_Nd8HoEr4
_chemical_formula_sum 'Nd8 Ho1 Er4'
_cell_length_a 10.5605
_cell_length_b 10.5605
_cell_length_c 10.5605
_cell_angle_alpha 40.17
_cell_angle_beta 40.17
_cell_angle_gamma 40.17
_space_group_name_H-M_alt 'P 1'
_space_group_IT_number 1
loop_
_space_group_symop_operation_xyz
'x,y,z'
loop_
_atom_site_label
_atom_site_fract_x
_atom_site_fract_y
_atom_site_fract_z
Nd1 0.2084 0.7513 0.7513
Nd2 0.2121 0.2121 0.2121
Nd3 0.2487 0.2487 0.7916
Nd4 0.2487 0.7916 0.2487
Nd5 0.7513 0.2084 0.7513
Nd6 0.7513 0.7513 0.2084
Nd7 0.7879 0.7879 0.7879
Nd8 0.7916 0.2487 0.2487
Ho1 0.5000 0.5000 0.5000
Er1 0.0000 0.0000 0.0000
Er2 0.0000 0.5000 0.5000
Er3 0.5000 0.0000 0.5000
Er4 0.5000 0.5000 0.0000
# Final energy = -4.50 eV per atom
# ΔH_f (0 K) = 0.195 eV per atom
# Crystal system = trigonal
# Magnetization = 0.0 μB/f.u.
# D(E_F) = 1.033 states/eV per atom


# Nd6HoEr8 PBE-GGA relaxed
data_Nd6HoEr8
_chemical_formula_sum 'Nd6 Ho1 Er8'
_cell_length_a 9.4835
_cell_length_b 9.4835
_cell_length_c 6.5346
_cell_angle_alpha 90.00
_cell_angle_beta 90.00
_cell_angle_gamma 120.00
_space_group_name_H-M_alt 'P 1'
_space_group_IT_number 1
loop_
_space_group_symop_operation_xyz
'x,y,z'
loop_
_atom_site_label
_atom_site_fract_x
_atom_site_fract_y
_atom_site_fract_z
Nd1 0.0870 0.6790 0.4056
Nd2 0.3210 0.4080 0.4056
Nd3 0.4080 0.0870 0.5944
Nd4 0.5920 0.9130 0.4056
Nd5 0.6790 0.5920 0.5944
Nd6 0.9130 0.3210 0.5944
Ho1 0.0000 0.0000 0.5000
Er1 0.0208 0.3303 0.1013
Er2 0.3095 0.9792 0.1013
Er3 0.3303 0.3095 0.8987
Er4 0.3333 0.6667 0.8502
Er5 0.6667 0.3333 0.1498
Er6 0.6697 0.6905 0.1013
Er7 0.6905 0.0208 0.8987
Er8 0.9792 0.6697 0.8987
# Final energy = -4.41 eV per atom
# ΔH_f (0 K) = 0.238 eV per atom
# Crystal system = trigonal
# Magnetization = 0.0 μB/f.u.
# D(E_F) = 1.485 states/eV per atom


# NdHo2Er9 PBE-GGA relaxed
data_NdHo2Er9
_chemical_formula_sum 'Nd1 Ho2 Er9'
_cell_length_a 11.1308
_cell_length_b 11.1308
_cell_length_c 3.4908
_cell_angle_alpha 90.00
_cell_angle_beta 90.00
_cell_angle_gamma 120.00
_space_group_name_H-M_alt 'P 1'
_space_group_IT_number 1
loop_
_space_group_symop_operation_xyz
'x,y,z'
loop_
_atom_site_label
_atom_site_fract_x
_atom_site_fract_y
_atom_site_fract_z
Nd1 0.0000 0.0000 0.0000
Ho1 0.3333 0.6667 0.0000
Ho2 0.6667 0.3333 0.0000
Er1 0.0000 0.5000 0.0000
Er2 0.1784 0.3569 0.5000
Er3 0.1784 0.8216 0.5000
Er4 0.3569 0.1784 0.5000
Er5 0.5000 0.0000 0.0000
Er6 0.5000 0.5000 0.0000
Er7 0.6431 0.8216 0.5000
Er8 0.8216 0.1784 0.5000
Er9 0.8216 0.6431 0.5000
# Energy above the lowest structure with this stoichiometry = 0.0171 eV/atom
# Final energy = -4.54 eV per atom
# ΔH_f (0 K) = 0.042 eV per atom
# Crystal system = hexagonal
# Magnetization = 0.0 μB/f.u.
# D(E_F) = 1.385 states/eV per atom


# Nd8Ho4Er3 PBE-GGA relaxed
data_Nd8Ho4Er3
_chemical_formula_sum 'Nd8 Ho4 Er3'
_cell_length_a 9.1809
_cell_length_b 9.1809
_cell_length_c 6.8813
_cell_angle_alpha 110.48
_cell_angle_beta 110.48
_cell_angle_gamma 83.15
_space_group_name_H-M_alt 'P 1'
_space_group_IT_number 1
loop_
_space_group_symop_operation_xyz
'x,y,z'
loop_
_atom_site_label
_atom_site_fract_x
_atom_site_fract_y
_atom_site_fract_z
Nd1 0.2033 0.2033 0.1758
Nd2 0.2052 0.7948 0.0000
Nd3 0.2536 0.7464 0.5000
Nd4 0.2560 0.2560 0.7131
Nd5 0.7440 0.7440 0.2869
Nd6 0.7464 0.2536 0.5000
Nd7 0.7948 0.2052 0.0000
Nd8 0.7967 0.7967 0.8242
Ho1 0.0000 0.5000 0.0000
Ho2 0.5000 0.0000 0.0000
Ho3 0.5000 0.5000 0.0000
Ho4 0.5000 0.5000 0.5000
Er1 0.0000 0.0000 0.5000
Er2 0.0000 0.5000 0.5000
Er3 0.5000 0.0000 0.5000
# Final energy = -4.34 eV per atom
# ΔH_f (0 K) = 0.339 eV per atom
# Crystal system = monoclinic
# Magnetization = 0.0 μB/f.u.
# D(E_F) = 1.500 states/eV per atom


# NdHo4Er6 PBE-GGA relaxed
data_NdHo4Er6
_chemical_formula_sum 'Nd1 Ho4 Er6'
_cell_length_a 8.4000
_cell_length_b 8.4000
_cell_length_c 8.4000
_cell_angle_alpha 125.85
_cell_angle_beta 125.85
_cell_angle_gamma 80.13
_space_group_name_H-M_alt 'P 1'
_space_group_IT_number 1
loop_
_space_group_symop_operation_xyz
'x,y,z'
loop_
_atom_site_label
_atom_site_fract_x
_atom_site_fract_y
_atom_site_fract_z
Nd1 0.0000 0.0000 0.0000
Ho1 0.2592 0.2592 0.6695
Ho2 0.4103 0.7408 0.0000
Ho3 0.5897 0.5897 0.3305
Ho4 0.7408 0.4103 0.0000
Er1 0.0000 0.5000 0.5000
Er2 0.0643 0.5641 0.0000
Er3 0.4359 0.4359 0.5002
Er4 0.5000 0.0000 0.5000
Er5 0.5641 0.0643 0.0000
Er6 0.9357 0.9357 0.4998
# Energy above the lowest structure with this stoichiometry = 0.3331 eV/atom
# Final energy = -4.13 eV per atom
# ΔH_f (0 K) = 0.456 eV per atom
# Crystal system = tetragonal
# Magnetization = 0.0 μB/f.u.
# D(E_F) = 1.547 states/eV per atom


# NdHo3Er5 PBE-GGA relaxed
data_NdHo3Er5
_chemical_formula_sum 'Nd2 Ho6 Er10'
_cell_length_a 9.2614
_cell_length_b 9.2614
_cell_length_c 12.1346
_cell_angle_alpha 126.01
_cell_angle_beta 126.01
_cell_angle_gamma 50.60
_space_group_name_H-M_alt 'P 1'
_space_group_IT_number 1
loop_
_space_group_symop_operation_xyz
'x,y,z'
loop_
_atom_site_label
_atom_site_fract_x
_atom_site_fract_y
_atom_site_fract_z
Nd1 0.2366 0.2366 0.1313
Nd2 0.7634 0.7634 0.8687
Ho1 0.0000 0.0000 0.0000
Ho2 0.1713 0.1713 0.3401
Ho3 0.3792 0.3792 0.6847
Ho4 0.5000 0.5000 0.5000
Ho5 0.6208 0.6208 0.3153
Ho6 0.8287 0.8287 0.6599
Er1 0.1221 0.1221 0.5654
Er2 0.1418 0.7292 0.2193
Er3 0.2708 0.8582 0.7807
Er4 0.2987 0.2987 0.9277
Er5 0.3213 0.6787 0.0000
Er6 0.6787 0.3213 0.0000
Er7 0.7013 0.7013 0.0723
Er8 0.7292 0.1418 0.2193
Er9 0.8582 0.2708 0.7807
Er10 0.8779 0.8779 0.4346
# Energy above the lowest structure with this stoichiometry = 0.1097 eV/atom
# Final energy = -4.17 eV per atom
# ΔH_f (0 K) = 0.425 eV per atom
# Crystal system = monoclinic
# Magnetization = 0.0 μB/f.u.
# D(E_F) = 1.541 states/eV per atom


# Nd5Ho2Er4 PBE-GGA relaxed
data_Nd5Ho2Er4
_chemical_formula_sum 'Nd5 Ho2 Er4'
_cell_length_a 12.7469
_cell_length_b 12.7469
_cell_length_c 12.7469
_cell_angle_alpha 164.12
_cell_angle_beta 138.13
_cell_angle_gamma 45.04
_space_group_name_H-M_alt 'P 1'
_space_group_IT_number 1
loop_
_space_group_symop_operation_xyz
'x,y,z'
loop_
_atom_site_label
_atom_site_fract_x
_atom_site_fract_y
_atom_site_fract_z
Nd1 0.0000 0.0000 0.0000
Nd2 0.0549 0.3541 0.7008
Nd3 0.3467 0.6459 0.7008
Nd4 0.6533 0.3541 0.2992
Nd5 0.9451 0.6459 0.2992
Ho1 0.2696 0.7696 0.5000
Ho2 0.7304 0.2304 0.5000
Er1 0.3146 0.5000 0.8146
Er2 0.4035 0.9035 0.5000
Er3 0.5965 0.0965 0.5000
Er4 0.6854 0.5000 0.1854
# Energy above the lowest structure with this stoichiometry = 0.1210 eV/atom
# Final energy = -4.46 eV per atom
# ΔH_f (0 K) = 0.197 eV per atom
# Crystal system = orthorhombic
# Magnetization = 0.0 μB/f.u.
# D(E_F) = 1.611 states/eV per atom


# Nd4HoEr8 PBE-GGA relaxed
data_Nd4HoEr8
_chemical_formula_sum 'Nd4 Ho1 Er8'
_cell_length_a 7.7699
_cell_length_b 7.7699
_cell_length_c 7.7699
_cell_angle_alpha 90.06
_cell_angle_beta 90.06
_cell_angle_gamma 90.06
_space_group_name_H-M_alt 'P 1'
_space_group_IT_number 1
loop_
_space_group_symop_operation_xyz
'x,y,z'
loop_
_atom_site_label
_atom_site_fract_x
_atom_site_fract_y
_atom_site_fract_z
Nd1 0.0000 0.0000 0.0000
Nd2 0.0000 0.5000 0.5000
Nd3 0.5000 0.0000 0.5000
Nd4 0.5000 0.5000 0.0000
Ho1 0.5000 0.5000 0.5000
Er1 0.2403 0.2403 0.2403
Er2 0.2403 0.2403 0.7591
Er3 0.2403 0.7591 0.2403
Er4 0.2409 0.7597 0.7597
Er5 0.7591 0.2403 0.2403
Er6 0.7597 0.2409 0.7597
Er7 0.7597 0.7597 0.2409
Er8 0.7597 0.7597 0.7597
# Final energy = -4.11 eV per atom
# ΔH_f (0 K) = 0.522 eV per atom
# Crystal system = trigonal
# Magnetization = 1.8 μB/f.u.
# D(E_F) = 1.634 states/eV per atom